This record from Alexandria via LeMat-Bulk describes Tb3Tm6Mg after structural relaxation. The functional is PBE-GGA.

```
Tb3Tm6Mg
1.0
3.500 0.000 0.000
0.000 11.540 1.209
0.000 1.489 15.029
Tm Mg Tb
12 2 6
direct
0.250 0.246 0.496 Tm
0.250 0.449 0.101 Tm
0.750 0.754 0.504 Tm
0.250 0.853 0.304 Tm
0.750 0.850 0.792 Tm
0.250 0.150 0.208 Tm
0.750 0.551 0.899 Tm
0.250 0.047 0.897 Tm
0.750 0.147 0.696 Tm
0.750 0.953 0.103 Tm
0.750 0.357 0.300 Tm
0.250 0.643 0.700 Tm
0.750 0.047 0.406 Mg
0.250 0.953 0.594 Mg
0.750 0.446 0.598 Tb
0.250 0.753 0.996 Tb
0.750 0.247 0.004 Tb
0.250 0.347 0.800 Tb
0.750 0.653 0.200 Tb
0.250 0.554 0.402 Tb
```

Values from the calculation:
Relative energy among the computed polymorphs = 0 meV per atom
Magnetic moment = 0.00 μB per formula unit
SG = P2_1/m (11)
ΔE_f = 0.021 eV per atom

***

This record from Alexandria via LeMat-Bulk describes Tb6Tm4Mg after structural relaxation. The functional is PBE-GGA.

```
Tb6Tm4Mg
1.0
-4.238 -0.020 7.255
6.395 -5.024 -2.113
5.782 5.586 -2.442
Tm Mg Tb
4 1 6
direct
0.534 0.944 0.944 Tm
0.000 0.590 0.056 Tm
0.000 0.056 0.590 Tm
0.466 0.410 0.410 Tm
0.000 0.000 0.000 Mg
0.500 0.000 0.500 Tb
0.500 0.500 0.000 Tb
0.334 0.587 0.587 Tb
0.000 0.747 0.413 Tb
0.000 0.413 0.747 Tb
0.666 0.253 0.253 Tb
```

Values from the calculation:
Relative energy among the computed polymorphs = 173 meV per atom
Magnetic moment = 0.00 μB per formula unit
SG = I-42m (121)
ΔE_f = 0.454 eV per atom

***

This record from Alexandria via LeMat-Bulk describes Tb4Tm3Mg2 after structural relaxation. The functional is PBE-GGA.

```
Tb4Tm3Mg2
1.0
4.920 0.000 0.000
0.000 7.709 0.648
-2.460 -2.932 6.771
Mg Tb Tm
2 4 3
direct
0.331 0.001 0.662 Mg
0.669 0.999 0.338 Mg
0.222 0.330 0.444 Tb
0.445 0.667 0.891 Tb
0.555 0.333 0.109 Tb
0.778 0.670 0.556 Tb
0.111 0.667 0.222 Tm
0.000 0.000 0.000 Tm
0.889 0.333 0.778 Tm
```

Values from the calculation:
Magnetic moment = 0.00 μB per formula unit
SG = C2/m (12)
ΔE_f = 0.008 eV per atom

***

This record from Alexandria via LeMat-Bulk describes Tb2Tm8Mg after structural relaxation. The functional is PBE-GGA.

```
Tb2Tm8Mg
1.0
5.202 0.000 -1.579
-0.901 6.673 -2.968
0.092 0.250 9.657
Tm Tb Mg
8 2 1
direct
0.000 0.255 0.000 Tm
0.181 0.181 0.361 Tm
0.361 0.126 0.723 Tm
0.000 0.745 0.000 Tm
0.361 0.597 0.723 Tm
0.639 0.403 0.277 Tm
0.639 0.874 0.277 Tm
0.819 0.819 0.639 Tm
0.194 0.694 0.387 Tb
0.806 0.306 0.613 Tb
0.500 0.000 0.000 Mg
```

Values from the calculation:
Relative energy among the computed polymorphs = 71 meV per atom
Magnetic moment = 0.00 μB per formula unit
SG = Immm (71)
ΔE_f = 0.108 eV per atom

***

This record from Alexandria via LeMat-Bulk describes Tb2Tm6Mg after structural relaxation. The functional is PBE-GGA.

```
Tb2Tm6Mg
1.0
-1.264 -4.393 1.939
7.766 -4.532 -5.207
6.376 1.707 8.025
Tm Tb Mg
12 4 2
direct
0.500 0.166 0.000 Tm
0.500 0.500 0.666 Tm
0.000 0.332 0.168 Tm
0.000 0.000 0.834 Tm
0.000 0.668 0.832 Tm
0.500 0.500 0.334 Tm
0.000 0.000 0.166 Tm
0.500 0.834 0.000 Tm
0.000 0.666 0.500 Tm
0.000 0.334 0.500 Tm
0.500 0.832 0.332 Tm
0.500 0.168 0.668 Tm
0.000 0.334 0.834 Tb
0.000 0.666 0.166 Tb
0.500 0.166 0.334 Tb
0.500 0.834 0.666 Tb
0.500 0.500 0.000 Mg
0.000 0.000 0.500 Mg
```

Values from the calculation:
Relative energy among the computed polymorphs = 0 meV per atom
Magnetic moment = 0.00 μB per formula unit
SG = P4_2/mnm (136)
ΔE_f = 0.029 eV per atom

***

This record from Alexandria via LeMat-Bulk describes Tb3Tm7Mg after structural relaxation. The functional is PBE-GGA.

```
Tb3Tm7Mg
1.0
8.473 0.000 0.000
0.000 6.904 0.000
0.000 -3.452 5.979
Tm Tb Mg
7 3 1
direct
0.121 0.666 0.833 Tm
0.445 0.831 0.169 Tm
0.121 0.167 0.833 Tm
0.445 0.831 0.661 Tm
0.121 0.167 0.334 Tm
0.445 0.339 0.169 Tm
0.117 0.667 0.333 Tm
0.786 0.997 0.498 Tb
0.786 0.502 0.003 Tb
0.786 0.502 0.498 Tb
0.444 0.333 0.667 Mg
```

Values from the calculation:
Magnetic moment = 0.00 μB per formula unit
SG = P3m1 (156)
ΔE_f = 0.198 eV per atom

***

This record from Alexandria via LeMat-Bulk describes Tb2Tm3Mg after structural relaxation. The functional is PBE-GGA.

```
Tb2Tm3Mg
1.0
-2.988 1.122 -0.969
-2.325 -1.557 5.367
4.749 8.695 1.166
Tm Mg Tb
3 1 2
direct
0.829 0.829 0.658 Tm
0.171 0.171 0.342 Tm
0.000 0.500 0.000 Tm
0.000 0.000 0.000 Mg
0.654 0.654 0.308 Tb
0.346 0.346 0.692 Tb
```

Values from the calculation:
Relative energy among the computed polymorphs = 275 meV per atom
Magnetic moment = 0.00 μB per formula unit
SG = Immm (71)
ΔE_f = 0.416 eV per atom

***

This record from Alexandria via LeMat-Bulk describes TbTm5Mg4 after structural relaxation. The functional is PBE-GGA.

```
TbTm5Mg4
1.0
3.608 0.000 0.000
0.000 3.608 0.000
0.000 0.000 21.155
Tm Mg Tb
5 4 1
direct
0.500 0.500 0.885 Tm
0.500 0.500 0.689 Tm
0.500 0.500 0.115 Tm
0.500 0.500 0.500 Tm
0.500 0.500 0.311 Tm
0.000 0.000 0.785 Mg
0.000 0.000 0.215 Mg
0.000 0.000 0.405 Mg
0.000 0.000 0.595 Mg
0.000 0.000 0.000 Tb
```

Values from the calculation:
Magnetic moment = 0.00 μB per formula unit
SG = P4/mmm (123)
ΔE_f = -0.035 eV per atom